No. 1
First-principles (GGA-PBEsol) data for a relaxed TaSbRu2 crystal, as listed in the Alexandria database.

```
TaSbRu2
1.0
-2.078 2.078 3.642
2.078 -2.078 3.642
2.078 2.078 -3.642
Ta Sb Ru
1 1 2
Cartesian
0.000 0.000 0.000 Ta
0.000 0.000 3.642 Sb
2.078 0.000 1.821 Ru
0.000 2.078 1.821 Ru
```

Computed properties:
V in Å³/atom: 15.7
Uncorrected energy in eV for the cell shown: -38.164
Density in Mg/m³: 13.32
Uncorrected formation energy in meV per atom: -178

=====

No. 2
First-principles (GGA-PBEsol) data for a relaxed Li2ScAg2 crystal, as listed in the Alexandria database.

```
Li2ScAg2
1.0
7.455 0.000 0.000
0.000 7.455 0.000
0.000 0.000 2.966
Li Sc Ag
4 2 4
Cartesian
0.855 2.873 0.000 Li
2.873 6.600 0.000 Li
4.582 0.855 0.000 Li
6.600 4.582 0.000 Li
0.000 0.000 0.000 Sc
3.727 3.727 0.000 Sc
1.380 5.107 1.483 Ag
2.348 1.380 1.483 Ag
5.107 6.075 1.483 Ag
6.075 2.348 1.483 Ag
```

Computed properties:
Energy above the most stable polymorph in this dataset in eV per atom: 0.0000
V in Å³/atom: 16.5
Uncorrected energy in eV for the cell shown: -35.696
Density in Mg/m³: 5.53
Formation energy in eV/f.u.: -0.7

=====

No. 3
First-principles (GGA-PBEsol) data for a relaxed Cs3LiCr crystal, as listed in the Alexandria database.

```
Cs3LiCr
1.0
7.086 0.000 0.000
0.000 7.086 0.000
0.000 0.000 7.086
Cs Li Cr
3 1 1
Cartesian
0.000 0.000 3.543 Cs
0.000 3.543 0.000 Cs
3.543 0.000 0.000 Cs
0.000 0.000 0.000 Li
3.543 3.543 3.543 Cr
```

Computed properties:
V in Å³/atom: 71.2
Uncorrected energy in eV for the cell shown: -10.607
Density in Mg/m³: 2.14
Formation energy in eV/f.u.: 4.4

=====

- Among the records above, which one has the highest V?
  Cs3LiCr

=====

- Look up the density of the second one.
  5.53 Mg/m³